[1]
The following is a DFT calculation (PBE) of crystalline ThPaInTc at its relaxed geometry.

Cell lengths 3.3279, 3.3279, 8.8120 Å; angles 90.00, 90.00, 90.00 degrees
Positions (direct):
Th: 0.5000 0.5000 0.7822
In: 0.0000 0.0000 0.0800
Tc: 0.0000 0.0000 0.5564
Pa: 0.5000 0.5000 0.3661

DOS at the Fermi energy in states/eV per atom: 1.280
Theoretical density in g/cm3: 11.5
Crystal system: tetragonal
Formation energy in meV per atom: -196
Magnetization in μB/f.u.: 0.0

[2]
The following is a DFT calculation (PBE) of crystalline ZrPaInTc at its relaxed geometry.

Cell lengths 4.8657, 4.8657, 4.8657 Å; angles 60.00, 60.00, 60.00 degrees
Positions (direct):
Tc: 0.7500 0.7500 0.7500
Zr: 0.2500 0.2500 0.2500
In: 0.0000 0.0000 0.0000
Pa: 0.5000 0.5000 0.5000

DOS at the Fermi energy in states/eV per atom: 1.229
Theoretical density in g/cm3: 10.9
Crystal system: cubic
Formation energy in meV per atom: -74
Magnetization in μB/f.u.: 0.0

[3]
The following is a DFT calculation (PBE) of crystalline PaInTe2 at its relaxed geometry.

Cell lengths 4.2443, 7.0495, 9.0699 Å; angles 89.56, 90.00, 90.00 degrees
Positions (direct):
Te: 0.2963 0.5877 0.2185
In: 0.7983 0.7518 0.5016
Pa: 0.7978 0.7483 0.0003
Pa: 0.2970 0.2517 0.9997
Te: 0.2963 0.9125 0.7839
In: 0.2974 0.2482 0.4984
Te: 0.7986 0.4123 0.7815
Te: 0.7986 0.0875 0.2161

DOS at the Fermi energy in states/eV per atom: 1.333
Theoretical density in g/cm3: 7.4
Raw total energy in eV per atom: -5.2410
Crystal system: triclinic
Magnetization in μB/f.u.: 1.1

[4]
The following is a DFT calculation (PBE) of crystalline PaIn2Te3 at its relaxed geometry.

Cell lengths 7.7922, 7.7922, 8.4182 Å; angles 98.66, 98.66, 119.06 degrees
Positions (direct):
Pa: 0.0035 0.9965 0.0000
Te: 0.0442 0.3776 0.2136
In: 0.3333 0.6667 0.0000
In: 0.1772 0.8228 0.5000
Te: 0.7731 0.7455 0.2309
Te: 0.6224 0.9558 0.7864
Te: 0.2545 0.2269 0.7691
Pa: 0.6631 0.3369 0.0000
In: 0.4895 0.5105 0.5000
Te: 0.8935 0.5878 0.7691
In: 0.8334 0.1666 0.5000
Te: 0.4122 0.1065 0.2309

DOS at the Fermi energy in states/eV per atom: 0.975
Theoretical density in g/cm3: 6.6
Raw total energy in eV per atom: -4.5643
Crystal system: monoclinic
Magnetization in μB/f.u.: 1.0

[5]
The following is a DFT calculation (PBE) of crystalline PaIn3Te4 at its relaxed geometry.

Cell lengths 6.4084, 6.4084, 8.0562 Å; angles 113.44, 113.44, 90.00 degrees
Positions (direct):
In: 0.2500 0.7500 0.5000
In: 0.7500 0.2500 0.5000
Te: 0.2246 0.2246 0.4493
Pa: 0.0000 0.0000 0.0000
Te: 0.5000 0.0000 0.0000
Te: 0.7754 0.7754 0.5507
Te: 0.0000 0.5000 0.0000
In: 0.5000 0.5000 0.0000

DOS at the Fermi energy in states/eV per atom: 0.924
Theoretical density in g/cm3: 6.6
Crystal system: tetragonal
Offset from the most stable computed form in kJ/mol of atoms: 6.76
Magnetization in μB/f.u.: 0.6

[6]
The following is a DFT calculation (PBE) of crystalline PaIn2Te8 at its relaxed geometry.

Cell lengths 6.7700, 8.7830, 8.7830 Å; angles 53.76, 76.11, 76.11 degrees
Positions (direct):
Te: 0.2735 0.3283 0.7954
Te: 0.7265 0.2046 0.6717
Te: 0.2639 0.8147 0.8147
Te: 0.7361 0.1853 0.1853
Te: 0.7265 0.6717 0.2046
Te: 0.1130 0.3628 0.3628
In: 0.3181 0.1805 0.1805
In: 0.6819 0.8195 0.8195
Te: 0.8870 0.6372 0.6372
Pa: 0.0000 0.0000 0.0000
Te: 0.2735 0.7954 0.3283

DOS at the Fermi energy in states/eV per atom: 0.612
Theoretical density in g/cm3: 6.1
Raw total energy in eV per atom: -3.8369
Crystal system: monoclinic
Magnetization in μB/f.u.: 0.0

[7]
The following is a DFT calculation (PBE) of crystalline Pa2InTe4 at its relaxed geometry.

Cell lengths 9.2061, 9.2065, 9.1998 Å; angles 119.74, 119.72, 90.51 degrees
Positions (direct):
Te: 0.8610 0.1356 0.7260
Pa: 0.6250 0.3750 0.7499
In: 0.2499 0.7499 0.5000
Te: 0.8644 0.1391 0.2740
Te: 0.8650 0.5904 0.7260
Te: 0.3856 0.6110 0.2260
Te: 0.3890 0.6143 0.7741
Te: 0.3851 0.1597 0.7740
Te: 0.4097 0.1350 0.2740
In: 0.0001 0.0000 0.0000
Pa: 0.1249 0.3749 0.7499
Pa: 0.6250 0.3750 0.2500
Pa: 0.6251 0.8751 0.2501
Te: 0.8402 0.6149 0.2259

DOS at the Fermi energy in states/eV per atom: 2.053
Theoretical density in g/cm3: 6.5
Crystal system: orthorhombic
Offset from the most stable computed form in kJ/mol of atoms: 0.00
Magnetization in μB/f.u.: 3.0

[8]
The following is a DFT calculation (PBE) of crystalline Pa2InTe6 at its relaxed geometry.

Cell lengths 7.2246, 7.8504, 9.8640 Å; angles 90.00, 89.26, 90.00 degrees
Positions (direct):
Te: 0.3239 0.5391 0.7338
Pa: 0.0497 0.6457 0.2510
Te: 0.3283 0.8446 0.0611
Pa: 0.5497 0.8543 0.7510
Te: 0.6397 0.1754 0.5698
Te: 0.6717 0.1554 0.9389
Te: 0.3603 0.8246 0.4302
Te: 0.8603 0.6754 0.9302
In: 0.5000 0.5000 0.0000
Te: 0.1397 0.3246 0.0698
Pa: 0.9503 0.3543 0.7490
In: 0.0000 0.0000 0.5000
Te: 0.1761 0.0391 0.7662
Te: 0.8283 0.6554 0.5611
Te: 0.6761 0.4609 0.2662
Pa: 0.4503 0.1457 0.2490
Te: 0.8239 0.9609 0.2338
Te: 0.1717 0.3446 0.4389

DOS at the Fermi energy in states/eV per atom: 0.856
Theoretical density in g/cm3: 8.0
Raw total energy in eV per atom: -5.1042
Crystal system: monoclinic
Magnetization in μB/f.u.: 1.0

[9]
The following is a DFT calculation (PBE) of crystalline PaInTe2 at its relaxed geometry.

Cell lengths 4.1377, 4.1377, 9.2202 Å; angles 77.03, 77.03, 60.00 degrees
Positions (direct):
Pa: 0.6665 0.6665 0.0006
Te: 0.0741 0.0741 0.7776
Te: 0.2585 0.2585 0.2246
In: 0.5010 0.5010 0.4971

DOS at the Fermi energy in states/eV per atom: 1.191
Theoretical density in g/cm3: 7.6
Raw total energy in eV per atom: -5.1567
Crystal system: trigonal
Magnetization in μB/f.u.: 1.6

[10]
The following is a DFT calculation (PBE) of crystalline PaInTe2 at its relaxed geometry.

Cell lengths 5.4284, 5.4284, 5.4284 Å; angles 60.00, 60.00, 60.00 degrees
Positions (direct):
Te: 0.2500 0.2500 0.2500
Te: 0.7500 0.7500 0.7500
Pa: 0.0000 0.0000 0.0000
In: 0.5000 0.5000 0.5000

DOS at the Fermi energy in states/eV per atom: 1.865
Theoretical density in g/cm3: 8.8
Raw total energy in eV per atom: -4.9863
Crystal system: cubic
Magnetization in μB/f.u.: 2.0

[11]
The following is a DFT calculation (PBE) of crystalline PaInTe2 at its relaxed geometry.

Cell lengths 3.8867, 3.8867, 7.4388 Å; angles 90.00, 90.00, 90.00 degrees
Positions (direct):
Pa: 0.5000 0.5000 0.0000
In: 0.5000 0.5000 0.5000
Te: 0.0000 0.0000 0.7758
Te: 0.0000 0.0000 0.2242

DOS at the Fermi energy in states/eV per atom: 1.239
Theoretical density in g/cm3: 8.9
Raw total energy in eV per atom: -5.2071
Crystal system: tetragonal
Magnetization in μB/f.u.: 0.7

[12]
The following is a DFT calculation (PBE) of crystalline Pa6InTe12 at its relaxed geometry.

Cell lengths 9.1254, 9.1254, 9.1254 Å; angles 105.56, 105.56, 105.56 degrees
Positions (direct):
Te: 0.1674 0.4264 0.4264
In: 0.0000 0.0000 0.0000
Te: 0.5736 0.8326 0.5736
Te: 0.5736 0.5736 0.8326
Pa: 0.3250 0.7349 0.7349
Te: 0.1258 0.5000 0.8742
Pa: 0.6750 0.2651 0.2651
Pa: 0.7349 0.3250 0.7349
Te: 0.5000 0.1258 0.8742
Te: 0.8326 0.5736 0.5736
Te: 0.1258 0.8742 0.5000
Te: 0.8742 0.5000 0.1258
Te: 0.8742 0.1258 0.5000
Te: 0.5000 0.8742 0.1258
Pa: 0.2651 0.6750 0.2651
Pa: 0.7349 0.7349 0.3250
Te: 0.4264 0.4264 0.1674
Pa: 0.2651 0.2651 0.6750
Te: 0.4264 0.1674 0.4264

DOS at the Fermi energy in states/eV per atom: 1.216
Theoretical density in g/cm3: 7.7
Raw total energy in eV per atom: -5.7326
Crystal system: trigonal
Magnetization in μB/f.u.: 7.1

[13]
The following is a DFT calculation (PBE) of crystalline PaInTe2 at its relaxed geometry.

Cell lengths 3.9552, 5.2419, 5.2419 Å; angles 90.00, 90.00, 90.00 degrees
Positions (direct):
In: 0.5000 0.5000 0.5000
Te: 0.0000 0.5000 0.0000
Pa: 0.5000 0.0000 0.0000
Te: 0.0000 0.0000 0.5000

DOS at the Fermi energy in states/eV per atom: 1.386
Theoretical density in g/cm3: 9.2
Raw total energy in eV per atom: -5.0250
Crystal system: tetragonal
Magnetization in μB/f.u.: 1.5

[14]
The following is a DFT calculation (PBE) of crystalline Pa2InTe4 at its relaxed geometry.

Cell lengths 6.4470, 6.4470, 6.4470 Å; angles 111.01, 111.01, 106.43 degrees
Positions (direct):
Pa: 0.7856 0.2856 0.5000
In: 0.7864 0.7864 0.0000
Te: 0.2857 0.2857 0.5002
Pa: 0.2856 0.7856 0.5000
Te: 0.7856 0.7856 0.4998
Te: 0.7853 0.2858 0.0000
Te: 0.2858 0.7853 0.0000

DOS at the Fermi energy in states/eV per atom: 1.164
Theoretical density in g/cm3: 8.8
Crystal system: tetragonal
Offset from the most stable computed form in kJ/mol of atoms: 4.47
Magnetization in μB/f.u.: 2.2

[15]
The following is a DFT calculation (PBE) of crystalline Pa3InTe6 at its relaxed geometry.

Cell lengths 7.8666, 9.3528, 9.3528 Å; angles 102.64, 90.00, 90.00 degrees
Positions (direct):
Pa: 0.4807 0.2767 0.0775
Te: 0.7359 0.5347 0.0877
Te: 0.6043 0.2383 0.7617
Te: 0.1714 0.7093 0.6241
Te: 0.1043 0.7617 0.2383
In: 0.4966 0.8133 0.1867
Te: 0.7359 0.9123 0.4653
Te: 0.6714 0.6241 0.7093
Te: 0.2359 0.0877 0.5347
Pa: 0.4807 0.9225 0.7233
Pa: 0.9807 0.0775 0.2767
Pa: 0.3719 0.4092 0.5908
In: 0.9966 0.1867 0.8133
Pa: 0.8719 0.5908 0.4092
Te: 0.1714 0.3759 0.2907
Te: 0.2359 0.4653 0.9123
Te: 0.7365 0.9951 0.0049
Te: 0.2365 0.0049 0.9951
Te: 0.6714 0.2907 0.3759
Pa: 0.9807 0.7233 0.9225

DOS at the Fermi energy in states/eV per atom: 1.669
Theoretical density in g/cm3: 7.8
Crystal system: orthorhombic
Offset from the most stable computed form in kJ/mol of atoms: 0.60
Magnetization in μB/f.u.: 4.0

[16]
The following is a DFT calculation (PBE) of crystalline PaIn2Te at its relaxed geometry.

Cell lengths 3.2723, 3.2723, 12.2780 Å; angles 82.34, 82.34, 60.00 degrees
Positions (direct):
In: 0.9124 0.9124 0.2629
Te: 0.5000 0.5000 0.5000
Pa: 0.0000 0.0000 0.0000
In: 0.0876 0.0876 0.7371

DOS at the Fermi energy in states/eV per atom: 1.085
Theoretical density in g/cm3: 8.7
Crystal system: trigonal
Offset from the most stable computed form in kJ/mol of atoms: 57.00
Magnetization in μB/f.u.: 0.0

[17]
The following is a DFT calculation (PBE) of crystalline Pa4InTe8 at its relaxed geometry.

Cell lengths 8.9974, 8.9974, 8.9974 Å; angles 60.00, 60.00, 60.00 degrees
Positions (direct):
Te: 0.6133 0.1600 0.6133
Te: 0.1270 0.1270 0.1270
Te: 0.1270 0.1270 0.6190
Pa: 0.3695 0.8914 0.3695
Pa: 0.3695 0.3695 0.8914
Te: 0.6190 0.1270 0.1270
Te: 0.6133 0.6133 0.1600
Pa: 0.3695 0.3695 0.3695
Te: 0.1600 0.6133 0.6133
In: 0.7500 0.7500 0.7500
Pa: 0.8914 0.3695 0.3695
Te: 0.1270 0.6190 0.1270
Te: 0.6133 0.6133 0.6133

DOS at the Fermi energy in states/eV per atom: 2.161
Theoretical density in g/cm3: 6.6
Raw total energy in eV per atom: -5.7206
Crystal system: cubic
Magnetization in μB/f.u.: 5.0

[18]
The following is a DFT calculation (PBE) of crystalline PaInTe4 at its relaxed geometry.

Cell lengths 7.2515, 7.4545, 7.5067 Å; angles 90.00, 91.32, 90.00 degrees
Positions (direct):
Te: 0.3543 0.3583 0.3435
Pa: 0.0000 0.0000 0.0000
Te: 0.8543 0.1417 0.3435
Te: 0.8548 0.6556 0.1548
Te: 0.1452 0.3444 0.8452
Te: 0.1457 0.8583 0.6565
Pa: 0.5000 0.5000 0.0000
In: 0.5000 0.0000 0.5000
In: 0.0000 0.5000 0.5000
Te: 0.6457 0.6417 0.6565
Te: 0.6452 0.1556 0.8452
Te: 0.3548 0.8444 0.1548

DOS at the Fermi energy in states/eV per atom: 0.227
Theoretical density in g/cm3: 7.0
Raw total energy in eV per atom: -4.5464
Crystal system: monoclinic
Magnetization in μB/f.u.: 0.0

[19]
The following is a DFT calculation (PBE) of crystalline Pa2In2Te5 at its relaxed geometry.

Cell lengths 8.3867, 8.3832, 9.3877 Å; angles 116.52, 90.00, 90.00 degrees
Positions (direct):
Te: 0.5000 0.5000 0.0000
In: 0.0000 0.1996 0.3991
Pa: 0.6483 0.8516 0.0000
Te: 0.1509 0.4700 0.2425
In: 0.0000 0.8004 0.6009
Te: 0.3491 0.7275 0.7575
Te: 0.6509 0.0300 0.7575
Te: 0.0000 0.0000 0.0000
Te: 0.3491 0.9700 0.2425
In: 0.5000 0.3004 0.6009
Pa: 0.1483 0.6484 0.0000
Te: 0.1509 0.2275 0.7575
Pa: 0.8517 0.3516 0.0000
Te: 0.8491 0.5300 0.7575
Te: 0.6509 0.2725 0.2425
Te: 0.8491 0.7725 0.2425
Pa: 0.3517 0.1484 0.0000
In: 0.5000 0.6996 0.3991

DOS at the Fermi energy in states/eV per atom: 0.846
Theoretical density in g/cm3: 7.5
Raw total energy in eV per atom: -5.0906
Crystal system: orthorhombic
Magnetization in μB/f.u.: 2.0

[20]
The following is a DFT calculation (PBE) of crystalline PaIn2Te4 at its relaxed geometry.

Cell lengths 4.6178, 7.8928, 7.9490 Å; angles 121.39, 106.89, 90.00 degrees
Positions (direct):
Pa: 0.0000 0.0000 0.0000
Te: 0.3846 0.7110 0.7692
In: 0.2647 0.2325 0.5293
Te: 0.6154 0.2890 0.2308
Te: 0.1000 0.7508 0.2000
Te: 0.9000 0.2492 0.8000
In: 0.7353 0.7675 0.4707

DOS at the Fermi energy in states/eV per atom: 0.705
Theoretical density in g/cm3: 6.9
Raw total energy in eV per atom: -4.4114
Crystal system: monoclinic
Magnetization in μB/f.u.: 0.0

[21]
The following is a DFT calculation (PBE) of crystalline PaIn3Te4 at its relaxed geometry.

Cell lengths 4.4389, 8.1665, 8.1665 Å; angles 107.53, 90.00, 90.00 degrees
Positions (direct):
Te: 0.0000 0.2212 0.2212
Pa: 0.5000 0.0000 0.0000
In: 0.5000 0.5000 0.5000
In: 0.0000 0.0000 0.5000
Te: 0.5000 0.2270 0.7730
Te: 0.5000 0.7730 0.2270
Te: 0.0000 0.7788 0.7788
In: 0.0000 0.5000 0.0000

DOS at the Fermi energy in states/eV per atom: 0.435
Theoretical density in g/cm3: 6.4
Crystal system: orthorhombic
Offset from the most stable computed form in kJ/mol of atoms: 0.00
Magnetization in μB/f.u.: 0.3

[22]
The following is a DFT calculation (PBE) of crystalline PaInTe5 at its relaxed geometry.

Cell lengths 10.3376, 10.3376, 8.0617 Å; angles 54.61, 54.61, 80.84 degrees
Positions (direct):
In: 0.0000 0.0000 0.0000
Te: 0.6845 0.7995 0.6288
Te: 0.3155 0.2005 0.3712
Te: 0.7648 0.4968 0.7466
Te: 0.2352 0.5032 0.2534
Te: 0.2005 0.3155 0.8712
Te: 0.7995 0.6845 0.1288
In: 0.0000 0.0000 0.5000
Te: 0.4968 0.7648 0.2466
Pa: 0.4516 0.5484 0.7500
Te: 0.5032 0.2352 0.7534
Te: 0.7743 0.2257 0.2500
Pa: 0.5484 0.4516 0.2500
Te: 0.2257 0.7743 0.7500

DOS at the Fermi energy in states/eV per atom: 0.038
Theoretical density in g/cm3: 5.9
Raw total energy in eV per atom: -4.3588
Crystal system: monoclinic
Magnetization in μB/f.u.: 0.0

[23]
The following is a DFT calculation (PBE) of crystalline PaIn2Te at its relaxed geometry.

Cell lengths 5.1997, 4.4214, 4.4214 Å; angles 90.00, 90.00, 90.00 degrees
Positions (direct):
Te: 0.5000 0.5000 0.5000
In: 0.0000 0.0000 0.5000
In: 0.0000 0.5000 0.0000
Pa: 0.5000 0.0000 0.0000

DOS at the Fermi energy in states/eV per atom: 1.262
Theoretical density in g/cm3: 9.6
Crystal system: tetragonal
Offset from the most stable computed form in kJ/mol of atoms: 0.00
Magnetization in μB/f.u.: 0.0